Density functional theory data (PBE-GGA) for a relaxed structure of Co2HgIr.

a = 2.7855 Å, b = 2.7855 Å, c = 26.2229 Å
α = 90.00°, β = 90.00°, γ = 120.00°
Space group R-3m (No. 166, hexagonal axes)
Symmetry-distinct sites (fractional):
Co 0.0000 0.0000 0.2438 [6 per cell]
Hg 0.0000 0.0000 0.0000 [3 per cell]
Ir 0.0000 0.0000 0.5000 [3 per cell]

Values from the calculation:
Total energy, eV/atom: -5.48
Calculated formation energy, kJ per mole of atoms: 35.3



Density functional theory data (PBE-GGA) for a relaxed structure of CoHgIr2.

a = 9.329 Å, b = 2.795 Å, c = 4.775 Å
α = 90.00°, β = 102.32°, γ = 90.00°
Space group C2/m (No. 12)
Symmetry-distinct sites (fractional):
Co 0.000 0.000 0.000 [2 per cell]
Hg 0.000 0.500 0.500 [2 per cell]
Ir 0.235 0.500 0.227 [4 per cell]

Values from the calculation:
Total energy, eV/atom: -5.93
Calculated formation energy, kJ per mole of atoms: 34.3